Ca2MoW, optimized geometry, DFT PBE; magnetization = 0.0 μB/f.u.; energy relative to the lowest polymorph listed for this composition = 475 meV per atom; SG = I4/mmm; electronic total energy = -6.045 eV/atom
1.0
-1.989 1.989 5.202
1.989 -1.989 5.202
1.989 1.989 -5.202
Ca Mo W
2 1 1
direct
0.250 0.750 0.500
0.750 0.250 0.500
0.000 0.000 0.000
0.500 0.500 0.000